Entry 1:
# KTlInPb2 | Alexandria | PBE | relaxed
# **Formation energy**: -36.5 kJ/mol of formula units
data_KTlInPb2
_chemical_formula_sum 'K2 Tl2 In2 Pb4'
_cell_length_a 4.848
_cell_length_b 4.899
_cell_length_c 14.959
_cell_angle_alpha 90.00
_cell_angle_beta 90.00
_cell_angle_gamma 90.00
_space_group_name_H-M_alt 'I m m 2'
_space_group_IT_number 44
_space_group_name_Hall 'I 2 -2'
loop_
_atom_site_label
_atom_site_type_symbol
_atom_site_fract_x
_atom_site_fract_y
_atom_site_fract_z
K1 K 0.000 0.000 0.000
Tl1 Tl 0.000 0.000 0.611
In1 In 0.000 0.500 0.751
Pb1 Pb 0.000 0.000 0.391
Pb2 Pb 0.000 0.500 0.255

---

Entry 2:
# B5C7 | Alexandria | PBE | relaxed
# **Formation energy**: 440.5 kJ/mol of formula units
data_B5C7
_chemical_formula_sum 'B5 C7'
_cell_length_a 3.819
_cell_length_b 2.590
_cell_length_c 8.168
_cell_angle_alpha 90.00
_cell_angle_beta 90.05
_cell_angle_gamma 90.00
_space_group_name_H-M_alt 'P 1 m 1'
_space_group_IT_number 6
_space_group_name_Hall 'P -2y'
loop_
_atom_site_label
_atom_site_type_symbol
_atom_site_fract_x
_atom_site_fract_y
_atom_site_fract_z
B1 B 0.000 0.000 0.000
B2 B 0.088 0.000 0.608
B3 B 0.384 0.000 0.766
B4 B 0.567 0.500 0.132
B5 B 0.777 0.500 0.632
C1 C 0.052 0.000 0.294
C2 C 0.281 0.000 0.140
C3 C 0.335 0.000 0.452
C4 C 0.561 0.500 0.444
C5 C 0.569 0.500 0.807
C6 C 0.797 0.500 0.960
C7 C 0.821 0.500 0.301

---

no.,E_tot (eV per atom),E above lowest polymorph (meV/atom),mass density (kg/m³)
1,-2.799,0.0,7223
2,-7.782,122.5,2839